The following is a DFT calculation (PBE) of an optimized crystal structure of Nd3HoSe4.

Geometry as extended XYZ:
```
16
Lattice="7.243 0.068 0.000 -2.475 6.888 0.000 0.000 0.000 8.305" Properties=species:S:1:pos:R:3 pbc="T T T"
Nd 5.432 0.051 3.127
Nd 1.811 0.017 5.177
Nd 4.195 3.495 5.168
Nd 4.195 3.495 1.052
Nd 0.573 3.461 3.136
Nd 0.573 3.461 7.252
Ho 5.432 0.051 7.252
Ho 1.811 0.017 1.053
Se 6.595 1.750 5.243
Se 3.034 1.680 7.314
Se 2.973 1.716 3.062
Se -0.588 1.645 0.990
Se 5.356 5.311 7.314
Se 1.795 5.241 5.243
Se 1.734 5.277 0.990
Se -1.826 5.206 3.062
```

Calculated values
* E_form (uncorrected): -1.81 eV per atom

The following is a DFT calculation (PBE) of an optimized crystal structure of NdHoSe.

Geometry as extended XYZ:
```
3
Lattice="3.914 0.000 0.000 -1.957 3.390 0.000 0.000 0.000 6.678" Properties=species:S:1:pos:R:3 pbc="T T T"
Nd 0.000 0.000 6.333
Ho 1.957 1.130 2.631
Se 0.000 2.260 4.392
```

Calculated values
* E_form (uncorrected): -1.10 eV per atom

The following is a DFT calculation (PBE) of an optimized crystal structure of Nd2Ho3Se4.

Geometry as extended XYZ:
```
9
Lattice="3.914 0.000 0.963 1.723 6.653 1.432 -0.184 0.625 9.187" Properties=species:S:1:pos:R:3 pbc="T T T"
Nd 2.593 1.830 6.332
Nd 2.860 5.448 5.250
Ho 0.000 0.000 0.000
Ho 1.428 2.748 2.631
Ho 4.025 4.530 8.951
Se 3.263 0.827 3.611
Se 2.190 6.451 7.971
Se 1.897 2.591 9.165
Se 3.557 4.687 2.417
```

Calculated values
* E_form (uncorrected): -1.55 eV per atom

The following is a DFT calculation (PBE) of an optimized crystal structure of Nd5HoSe8.

Geometry as extended XYZ:
```
14
Lattice="-3.126 -2.862 6.475 7.228 -2.685 -0.657 0.240 7.732 0.205" Properties=species:S:1:pos:R:3 pbc="T T T"
Nd 2.852 -0.145 -0.086
Nd 3.806 -2.796 5.108
Nd 2.206 1.121 4.451
Nd -1.443 2.435 3.340
Nd -0.181 6.189 2.572
Ho 3.012 3.741 1.444
Se 5.029 -2.272 0.368
Se -2.059 2.564 6.441
Se -0.483 0.000 4.934
Se 1.151 3.946 3.955
Se 2.891 -1.255 2.760
Se 4.659 2.558 3.610
Se 1.054 1.519 1.625
Se 5.124 1.679 0.395
```

Calculated values
* E_form (uncorrected): -1.84 eV per atom

> The lowest E_form (uncorrected) belongs to which entry?

Nd5HoSe8